A plane-wave DFT calculation with PBE was carried out for an optimized crystal structure of SbHI2N.

Unit cell a=6.2470 b=6.2470 c=2.9298 alpha=90.00 beta=90.00 gamma=90.00
Element x y z (fractional)
I: 0.0000 0.5000 0.0000
I: 0.5000 0.0000 0.0000
Sb: 0.5000 0.5000 0.5000
H: 0.0000 0.0000 0.0000
N: 0.0000 0.0000 0.5000

## Properties
Excess energy over the best structure of this formula in the dataset: 0.2295 eV per atom
Space group: P4/mmm, No. 123


A plane-wave DFT calculation with PBE was carried out for an optimized crystal structure of Dy4Ga2I5.

Unit cell a=4.1838 b=8.4454 c=12.0583 alpha=88.14 beta=99.99 gamma=90.00
Element x y z (fractional)
Dy: 0.6612 0.5591 0.3224
Dy: 0.0196 0.7040 0.0393
Dy: 0.3388 0.4409 0.6776
Dy: 0.9804 0.2960 0.9607
Ga: 0.5507 0.4666 0.1015
Ga: 0.4493 0.5334 0.8985
I: 0.1457 0.8246 0.2915
I: 0.8543 0.1754 0.7085
I: 0.2084 0.3196 0.4169
I: 0.5000 0.0000 0.0000
I: 0.7916 0.6804 0.5831

## Properties
Space group: C2/m, No. 12


Number 1: magnetic moment 0.000 Bohr magnetons per cell, raw total energy -2.533 eV per atom. Number 2: magnetic moment 0.000 Bohr magnetons per cell, raw total energy -3.836 eV per atom.